Record 1
PBE RePd2Ru, relaxed; energy = -29.9 eV per cell; E_form = 554 meV/atom; SG = Fm-3m
1.0
0.000 3.105 3.105
3.105 0.000 3.105
3.105 3.105 0.000
Re Pd Ru
1 2 1
direct
0.000 0.000 0.000
0.250 0.250 0.250
0.750 0.750 0.750
0.500 0.500 0.500

Record 2
PBE NbSnHgC2, relaxed; energy = -20.5 eV per cell; E_form = 2469 meV/atom; SG = P4/mmm
1.0
4.218 0.000 0.000
0.000 4.218 0.000
0.000 0.000 5.388
Nb Sn Hg C
1 1 1 2
direct
0.000 0.000 0.000
0.500 0.500 0.500
0.500 0.500 0.000
0.000 0.500 0.500
0.500 0.000 0.500

Record 3
PBE RuWCl2, relaxed; energy = -22.7 eV per cell; uncorrected formation energy = 0.8033 eV per atom; SG = P2/m
1.0
3.019 0.000 0.000
0.000 4.270 0.000
-0.316 0.000 4.979
Ru W Cl
1 1 2
direct
0.000 0.000 0.000
0.500 0.000 0.500
0.273 0.500 0.253
0.727 0.500 0.747

Record 4
PBE SiWSCl2, relaxed; energy = -21.6 eV per cell; uncorrected formation energy = 0.9291 eV per atom; SG = P4/mmm
1.0
4.612 0.000 0.000
0.000 4.612 0.000
0.000 0.000 4.959
Si W S Cl
1 1 1 2
direct
0.000 0.000 0.000
0.500 0.500 0.500
0.000 0.000 0.500
0.000 0.500 0.000
0.500 0.000 0.000

Record 5
PBE ZrBiTe, relaxed; energy = -16.5 eV per cell; uncorrected formation energy = -0.2990 eV per atom; SG = P-6m2
1.0
5.022 0.000 0.000
-2.511 4.349 0.000
0.000 0.000 3.706
Zr Bi Te
1 1 1
direct
0.000 0.000 0.000
0.333 0.667 0.500
0.667 0.333 0.000

Record 6
PBE SrTe2P, relaxed; energy = -15.4 eV per cell; uncorrected formation energy = -0.4974 eV per atom; SG = C2/m
1.0
6.583 -2.231 0.000
6.583 2.231 0.000
-1.504 0.000 4.202
Sr Te P
1 2 1
direct
0.000 0.000 0.000
0.275 0.275 0.275
0.725 0.725 0.725
0.500 0.500 0.500

Record 7
PBE InTcIr2, relaxed; energy = -31.2 eV per cell; E_form = -93 meV/atom; SG = P4/mmm
1.0
2.848 0.000 0.000
0.000 2.848 0.000
0.000 0.000 7.804
In Tc Ir
1 1 2
direct
0.000 0.000 0.000
0.000 0.000 0.500
0.500 0.500 0.270
0.500 0.500 0.730

| no. | mass density (g cm⁻³) |
| --- | --- |
| 1 | 13.9 |
| 2 | 7.6 |
| 3 | 9.2 |
| 4 | 5.0 |
| 5 | 8.8 |
| 6 | 5.0 |
| 7 | 15.7 |